This record from Alexandria via LeMat-Bulk describes crystalline NbRhPb2Se at its relaxed geometry. The functional is PBE.

Structure (CIF):
```
data_NbRhPb2Se
_cell_length_a 5.613
_cell_length_b 5.613
_cell_length_c 4.510
_cell_angle_alpha 90.00
_cell_angle_beta 90.00
_cell_angle_gamma 90.00
_symmetry_space_group_name_H-M 'P 1'
_symmetry_Int_Tables_number 1
_symmetry_space_group_name_Hall 'P 1'
loop_
_atom_site_label
_atom_site_fract_x
_atom_site_fract_y
_atom_site_fract_z
Nb1 0.000 0.000 0.000
Rh1 0.500 0.500 0.000
Pb1 0.000 0.500 0.500
Pb2 0.500 0.000 0.500
Se1 0.500 0.500 0.500
```

Summary:
- Crystal system: tetragonal
- Raw total energy: -4.709 eV/atom
- Total magnetic moment: 0.701 μB/atom
- V: 142.1 Å³/cell

This record from Alexandria via LeMat-Bulk describes crystalline PmCuBi at its relaxed geometry. The functional is PBE.

Structure (CIF):
```
data_PmCuBi
_cell_length_a 4.484
_cell_length_b 4.484
_cell_length_c 4.331
_cell_angle_alpha 90.00
_cell_angle_beta 90.00
_cell_angle_gamma 120.00
_symmetry_space_group_name_H-M 'P 1'
_symmetry_Int_Tables_number 1
_symmetry_space_group_name_Hall 'P 1'
loop_
_atom_site_label
_atom_site_fract_x
_atom_site_fract_y
_atom_site_fract_z
Pm1 0.000 0.000 0.000
Cu1 0.667 0.333 0.391
Bi1 0.333 0.667 0.516
```

Summary:
- Crystal system: trigonal
- Raw total energy: -4.721 eV/atom
- Total magnetic moment: 0.000 μB/atom
- V: 75.4 Å³/cell

This record from Alexandria via LeMat-Bulk describes crystalline SrEuSnSb at its relaxed geometry. The functional is PBE.

Structure (CIF):
```
data_SrEuSnSb
_cell_length_a 8.009
_cell_length_b 8.009
_cell_length_c 8.009
_cell_angle_alpha 90.00
_cell_angle_beta 90.00
_cell_angle_gamma 90.00
_symmetry_space_group_name_H-M 'P 1'
_symmetry_Int_Tables_number 1
_symmetry_space_group_name_Hall 'P 1'
loop_
_atom_site_label
_atom_site_fract_x
_atom_site_fract_y
_atom_site_fract_z
Sr1 0.000 0.000 0.000
Sr2 0.000 0.500 0.500
Sr3 0.500 0.000 0.500
Sr4 0.500 0.500 0.000
Eu1 0.000 0.000 0.500
Eu2 0.000 0.500 0.000
Eu3 0.500 0.000 0.000
Eu4 0.500 0.500 0.500
Sn1 0.250 0.250 0.250
Sn2 0.250 0.750 0.750
Sn3 0.750 0.250 0.750
Sn4 0.750 0.750 0.250
Sb1 0.250 0.250 0.750
Sb2 0.250 0.750 0.250
Sb3 0.750 0.250 0.250
Sb4 0.750 0.750 0.750
```

Summary:
- Crystal system: cubic
- Raw total energy: -5.685 eV/atom
- Total magnetic moment: 1.757 μB/atom
- V: 513.7 Å³/cell

This record from Alexandria via LeMat-Bulk describes crystalline BaBiSb2I at its relaxed geometry. The functional is PBE.

Structure (CIF):
```
data_BaBiSb2I
_cell_length_a 5.838
_cell_length_b 5.838
_cell_length_c 6.282
_cell_angle_alpha 90.00
_cell_angle_beta 90.00
_cell_angle_gamma 90.00
_symmetry_space_group_name_H-M 'P 1'
_symmetry_Int_Tables_number 1
_symmetry_space_group_name_Hall 'P 1'
loop_
_atom_site_label
_atom_site_fract_x
_atom_site_fract_y
_atom_site_fract_z
Ba1 0.000 0.000 0.000
Bi1 0.500 0.500 0.500
Sb1 0.000 0.500 0.500
Sb2 0.500 0.000 0.500
I1 0.500 0.500 0.000
```

Summary:
- Crystal system: tetragonal
- Raw total energy: -3.287 eV/atom
- Total magnetic moment: 0.000 μB/atom
- V: 214.1 Å³/cell

Q: What is the V in the third record?
A: 513.7 Å³/cell

Repeat the fourth record exactly.
This record from Alexandria via LeMat-Bulk describes crystalline BaBiSb2I at its relaxed geometry. The functional is PBE.

Structure (CIF):
```
data_BaBiSb2I
_cell_length_a 5.838
_cell_length_b 5.838
_cell_length_c 6.282
_cell_angle_alpha 90.00
_cell_angle_beta 90.00
_cell_angle_gamma 90.00
_symmetry_space_group_name_H-M 'P 1'
_symmetry_Int_Tables_number 1
_symmetry_space_group_name_Hall 'P 1'
loop_
_atom_site_label
_atom_site_fract_x
_atom_site_fract_y
_atom_site_fract_z
Ba1 0.000 0.000 0.000
Bi1 0.500 0.500 0.500
Sb1 0.000 0.500 0.500
Sb2 0.500 0.000 0.500
I1 0.500 0.500 0.000
```

Summary:
- Crystal system: tetragonal
- Raw total energy: -3.287 eV/atom
- Total magnetic moment: 0.000 μB/atom
- V: 214.1 Å³/cell

Repeat the first record exactly.
This record from Alexandria via LeMat-Bulk describes crystalline NbRhPb2Se at its relaxed geometry. The functional is PBE.

Structure (CIF):
```
data_NbRhPb2Se
_cell_length_a 5.613
_cell_length_b 5.613
_cell_length_c 4.510
_cell_angle_alpha 90.00
_cell_angle_beta 90.00
_cell_angle_gamma 90.00
_symmetry_space_group_name_H-M 'P 1'
_symmetry_Int_Tables_number 1
_symmetry_space_group_name_Hall 'P 1'
loop_
_atom_site_label
_atom_site_fract_x
_atom_site_fract_y
_atom_site_fract_z
Nb1 0.000 0.000 0.000
Rh1 0.500 0.500 0.000
Pb1 0.000 0.500 0.500
Pb2 0.500 0.000 0.500
Se1 0.500 0.500 0.500
```

Summary:
- Crystal system: tetragonal
- Raw total energy: -4.709 eV/atom
- Total magnetic moment: 0.701 μB/atom
- V: 142.1 Å³/cell